Entry from Alexandria via LeMat-Bulk: MgMn3P4O14 after structural relaxation (GGA+U).

Unit cell a=7.6335 b=7.4898 c=9.9372 alpha=90.00 beta=114.16 gamma=90.00
Last column: nearest neighbours and their distance in Å.
Space group P2_1/c (No. 14)
Symmetry-distinct sites (fractional):
Mg 0.0000 0.0000 0.0000 [2 per cell]  4 O 2.14-2.15
Mn 0.3086 0.1180 0.4740 [4 per cell]  5 O 2.12-2.28
Mn 0.5000 0.0000 0.0000 [2 per cell]  4 O 2.14-2.18
P 0.0956 0.1004 0.6970 [4 per cell]  4 O 1.51-1.62
P 0.3558 0.7043 0.1808 [4 per cell]  4 O 1.53-1.62
O 0.1058 0.5564 0.8197 [4 per cell]  1 P 1.51
O 0.1189 0.2487 0.5994 [4 per cell]  1 P 1.53
O 0.1675 0.5817 0.1471 [4 per cell]  2 P 1.62
O 0.2277 0.1266 0.8634 [4 per cell]  1 P 1.56
O 0.2791 0.6203 0.5985 [4 per cell]  1 P 1.53
O 0.4615 0.7157 0.3489 [4 per cell]  1 P 1.53
O 0.4710 0.5998 0.1114 [4 per cell]  1 P 1.54

Computed properties:
spin magnetization: 15.00 μB/f.u.
raw total energy: -326.277 eV/cell
Fermi-level density of states: 0.0 states/eV/f.u.